# Sn3OsI

Sn3OsI after structural relaxation (GGA-PBEsol, the Alexandria database).

```
Sn3OsI
1.0
-4.2860 0.0049 3.5968
-2.9323 -3.2449 -3.4898
2.0829 -4.5582 2.4882
Sn I Os
3 1 1
Direct
0.0000 0.0000 0.5000
0.0000 0.5000 0.0000
0.5000 0.0000 0.0000
0.0000 0.0000 0.0000
0.5000 0.5000 0.5000
```

Output
The calculation puts the uncorrected formation energy at 2.14 eV per atom. The value obtained for the calculated volume is 175.2 Å³ per cell. The value obtained for the density is 6.382 g/cm3.